# 1
# Sm2Ge2Pb, optimized geometry, DFT PBE-GGA
# VASP energy: -51.76 eV for the cell shown
data_Sm2Ge2Pb
_chemical_formula_sum 'Sm4 Ge4 Pb2'
_symmetry_space_group_name_H-M 'P 4/m b m'
_symmetry_Int_Tables_number 127
_symmetry_space_group_name_Hall '-P 4 2ab'
_cell_length_a 7.7390
_cell_length_b 7.7390
_cell_length_c 4.2243
_cell_angle_alpha 90.00
_cell_angle_beta 90.00
_cell_angle_gamma 90.00
loop_
_atom_site_label
_atom_site_type_symbol
_atom_site_fract_x
_atom_site_fract_y
_atom_site_fract_z
_atom_site_occupancy
Sm1 Sm 0.1790 0.3210 0.0000 1
Ge1 Ge 0.1165 0.6165 0.5000 1
Pb1 Pb 0.0000 0.0000 0.5000 1

---

# 2
# SmGe2Pb, optimized geometry, DFT PBE-GGA
# Relative energy among the computed polymorphs: 0.594 eV per atom
data_SmGe2Pb
_chemical_formula_sum 'Sm3 Ge6 Pb3'
_symmetry_space_group_name_H-M 'R -3 m'
_symmetry_Int_Tables_number 166
_symmetry_space_group_name_Hall '-R 3 2"'
_cell_length_a 4.8195
_cell_length_b 4.8195
_cell_length_c 21.9519
_cell_angle_alpha 90.00
_cell_angle_beta 90.00
_cell_angle_gamma 120.00
loop_
_atom_site_label
_atom_site_type_symbol
_atom_site_fract_x
_atom_site_fract_y
_atom_site_fract_z
_atom_site_occupancy
Sm1 Sm 0.0000 0.0000 0.0000 1
Ge1 Ge 0.0000 0.0000 0.3786 1
Pb1 Pb 0.0000 0.0000 0.5000 1

---

no.,DOS(E_F) (states/eV/f.u.)
1,2.040
2,3.170